1.
## Cr21Re2C6 (PBE-GGA)

Data for an optimized crystal structure of Cr21Re2C6.

POSCAR file:
```
Cr21Re2C6
1.0
6.503 0.000 3.755
2.168 6.131 3.755
0.000 0.000 7.509
Cr C Re
21 6 2
Direct
0.000 0.000 0.662
0.151 0.616 0.616
0.384 0.384 0.849
0.338 0.662 0.000
0.616 0.616 0.151
0.662 0.000 0.338
0.000 0.662 0.000
0.000 0.338 0.662
0.616 0.151 0.616
0.338 0.000 0.000
0.662 0.000 0.000
0.000 0.662 0.338
0.662 0.338 0.000
0.000 0.338 0.000
0.384 0.384 0.384
0.338 0.000 0.662
0.000 0.000 0.338
0.616 0.616 0.616
0.384 0.849 0.384
0.000 0.000 0.000
0.849 0.384 0.384
0.275 0.725 0.275
0.275 0.275 0.725
0.725 0.275 0.275
0.725 0.725 0.275
0.725 0.275 0.725
0.275 0.725 0.725
0.250 0.250 0.250
0.750 0.750 0.750
```

Calculated values
**Calculated formation energy**: -130 meV per atom
**Theoretical density**: 8.521 g cm⁻³

---

2.
## CsAcWN3 (PBE-GGA)

Data for an optimized crystal structure of CsAcWN3.

POSCAR file:
```
CsAcWN3
1.0
4.015 0.000 0.000
-2.008 7.339 -0.056
0.000 -2.214 8.556
W N Cs Ac
2 6 2 2
Direct
0.988 0.976 0.659
0.012 0.024 0.341
0.119 0.238 0.773
0.850 0.699 0.629
0.881 0.762 0.227
0.486 0.972 0.643
0.514 0.028 0.357
0.150 0.301 0.371
0.363 0.726 0.936
0.637 0.274 0.064
0.337 0.673 0.400
0.663 0.327 0.600
```

Calculated values
**E_form (uncorrected)**: -2.97 eV per formula unit
**Theoretical density**: 7.731 g cm⁻³

---

3.
## CrSbPb2 (PBE-GGA)

Data for an optimized crystal structure of CrSbPb2.

POSCAR file:
```
CrSbPb2
1.0
4.808 -0.060 0.047
3.177 3.609 0.047
1.607 0.714 6.359
Sb Pb Cr
1 2 1
Direct
0.524 0.524 0.423
0.983 0.983 0.049
0.746 0.746 0.732
0.247 0.247 0.295
```

Calculated values
**E_form (uncorrected)**: 1.24 eV per formula unit
**Theoretical density**: 8.782 g cm⁻³

---

4.
## AlNiPt3 (PBE-GGA)

Data for an optimized crystal structure of AlNiPt3.

POSCAR file:
```
AlNiPt3
1.0
3.875 0.000 0.886
0.000 3.962 0.000
-0.084 0.000 9.290
Pt Ni Al
6 2 2
Direct
0.768 0.250 0.112
0.384 0.250 0.881
0.574 0.250 0.501
0.880 0.750 0.888
0.075 0.750 0.499
0.265 0.750 0.119
0.977 0.250 0.695
0.672 0.750 0.305
0.475 0.750 0.697
0.173 0.250 0.303
```

Calculated values
**Relative energy among the computed polymorphs**: 0.0 kJ per mole of atoms
**Calculated formation energy**: -563 meV per atom
**Theoretical density**: 15.591 g cm⁻³

---

5.
## ZnCrAs2Br (PBE-GGA)

Data for an optimized crystal structure of ZnCrAs2Br.

POSCAR file:
```
ZnCrAs2Br
1.0
4.617 0.000 0.000
0.000 4.617 0.000
0.000 0.000 5.442
Zn As Br Cr
1 2 1 1
Direct
0.500 0.500 0.500
0.500 0.000 0.000
0.000 0.500 0.000
0.000 0.000 0.500
0.000 0.000 0.000
```

Calculated values
**Relative energy among the computed polymorphs**: 0.0 kJ per mole of atoms
**E_form (uncorrected)**: 1.55 eV per formula unit
**Theoretical density**: 4.970 g cm⁻³

---

6.
## KRbP2S (PBE-GGA)

Data for an optimized crystal structure of KRbP2S.

POSCAR file:
```
KRbP2S
1.0
-3.394 -1.423 4.983
-1.142 -5.605 -2.378
4.817 -2.118 2.677
K P Rb S
1 2 1 1
Direct
0.000 0.000 0.000
0.500 0.000 0.000
0.000 0.500 0.000
0.500 0.500 0.500
0.000 0.000 0.500
```

Calculated values
**Relative energy among the computed polymorphs**: 0.0 kJ per mole of atoms
**E_form (uncorrected)**: 4.46 eV per formula unit
**Theoretical density**: 1.602 g cm⁻³

---

Number 1: total DFT energy (no corrections) -286.09 eV per cell. Number 2: total DFT energy (no corrections) -91.72 eV per cell. Number 3: total DFT energy (no corrections) -19.92 eV per cell. Number 4: total DFT energy (no corrections) -60.93 eV per cell. Number 5: total DFT energy (no corrections) -20.31 eV per cell. Number 6: total DFT energy (no corrections) -12.55 eV per cell.